DFT (PBE-GGA) results for a geometry-optimized CsSbAsH structure.

Structure (POSCAR):
```
CsSbAsH
1.0
3.986 0.000 -0.012
-0.004 5.654 0.000
-1.969 -0.491 5.762
Cs Sb As H
1 1 1 1
direct
0.059 0.657 0.722
0.782 0.149 0.165
0.435 0.138 0.471
0.770 0.463 0.139
```

Values from the calculation:
Distance to the lowest polymorph of the same formula = 0.00 eV/f.u.
V = 32.43 A^3/atom
Symmetry = No. 1

---

DFT (PBE-GGA) results for a geometry-optimized Be2CdTcH structure.

Structure (POSCAR):
```
Be2CdTcH
1.0
4.276 0.000 0.000
0.000 5.388 0.000
0.000 0.000 4.276
Be Tc H Cd
2 1 1 1
direct
0.000 0.000 0.500
0.500 0.000 0.000
0.000 0.000 0.000
0.500 0.500 0.500
0.000 0.500 0.000
```

Values from the calculation:
V = 19.70 A^3/atom
DFT total energy = -14.39 eV/cell
Symmetry = No. 123

---

DFT (PBE-GGA) results for a geometry-optimized Dy2ScHgO structure.

Structure (POSCAR):
```
Dy2ScHgO
1.0
4.493 0.000 0.000
0.000 4.747 0.000
0.000 0.000 4.747
Dy Sc Hg O
2 1 1 1
direct
0.000 0.000 0.500
0.000 0.500 0.000
0.500 0.000 0.000
0.500 0.500 0.500
0.000 0.000 0.000
```

Values from the calculation:
V = 20.25 A^3/atom
Formation energy from raw total energies = -1.41 eV per atom
Symmetry = No. 123

---

DFT (PBE-GGA) results for a geometry-optimized BeRh2Pb2 structure.

Structure (POSCAR):
```
BeRh2Pb2
1.0
-5.028 -2.839 2.792
3.722 -1.754 4.919
-0.982 3.801 2.098
Pb Be Rh
4 2 4
direct
0.169 0.669 0.500
0.669 0.831 0.500
0.831 0.331 0.500
0.331 0.169 0.500
0.000 0.000 0.000
0.500 0.500 0.000
0.343 0.843 0.000
0.843 0.657 0.000
0.657 0.157 0.000
0.157 0.343 0.000
```

Values from the calculation:
V = 18.31 A^3/atom
Energy of formation = 0.068 eV/atom
Symmetry = No. 127

---

DFT (PBE-GGA) results for a geometry-optimized Ca2ScOs structure.

Structure (POSCAR):
```
Ca2ScOs
1.0
-1.175 5.533 1.471
-3.908 2.887 -3.248
0.318 -5.167 2.712
Sc Ca Os
1 2 1
direct
0.750 0.250 0.500
0.000 0.000 0.000
0.500 0.500 0.000
0.250 0.750 0.500
```

Values from the calculation:
Distance to the lowest polymorph of the same formula = 1.47 eV/f.u.
V = 22.95 A^3/atom
Energy of formation = 0.389 eV/atom
Symmetry = No. 139

---

DFT (PBE-GGA) results for a geometry-optimized CsHfGaCl6 structure.

Structure (POSCAR):
```
CsHfGaCl6
1.0
7.379 0.000 0.000
-3.689 6.390 0.000
0.000 0.000 14.457
Cs Hf Ga Cl
2 2 2 12
direct
0.000 0.000 0.000
0.000 0.000 0.500
0.667 0.333 0.250
0.333 0.667 0.750
0.333 0.667 0.250
0.667 0.333 0.750
0.653 0.599 0.151
0.946 0.347 0.151
0.347 0.946 0.651
0.054 0.653 0.849
0.401 0.347 0.349
0.946 0.599 0.349
0.599 0.946 0.849
0.653 0.054 0.349
0.054 0.401 0.651
0.401 0.054 0.151
0.599 0.653 0.651
0.347 0.401 0.849
```

Values from the calculation:
V = 37.87 A^3/atom
Formation energy from raw total energies = -1.69 eV per atom
Symmetry = No. 163

---

DFT (PBE-GGA) results for a geometry-optimized Ba4U3PbO12 structure.

Structure (POSCAR):
```
Ba4U3PbO12
1.0
7.775 0.000 0.000
-2.592 7.330 0.000
-2.592 -3.665 6.348
Ba U Pb O
4 3 1 12
direct
0.500 0.500 0.500
0.000 0.000 0.500
0.500 0.000 0.000
0.000 0.500 0.000
0.500 0.000 0.500
0.500 0.500 0.000
0.000 0.500 0.500
0.000 0.000 0.000
0.250 0.500 0.750
0.730 0.000 0.730
0.270 0.000 0.270
0.750 0.500 0.250
0.730 0.730 0.000
0.270 0.270 0.000
0.750 0.250 0.500
0.250 0.750 0.500
0.500 0.250 0.750
0.000 0.730 0.730
0.500 0.750 0.250
0.000 0.270 0.270
```

Values from the calculation:
V = 18.09 A^3/atom
Formation energy from raw total energies = -2.88 eV per atom
Symmetry = No. 229

---

DFT (PBE-GGA) results for a geometry-optimized HoScCu structure.

Structure (POSCAR):
```
HoScCu
1.0
3.357 0.000 0.000
0.000 3.357 0.000
-1.678 -1.678 5.893
Sc Ho Cu
1 1 1
direct
0.302 0.302 0.604
0.021 0.021 0.041
0.677 0.677 0.355
```

Values from the calculation:
Distance to the lowest polymorph of the same formula = 0.15 eV/f.u.
V = 22.14 A^3/atom
Energy of formation = -0.128 eV/atom
Symmetry = No. 107

---

DFT (PBE-GGA) results for a geometry-optimized Tl2SbAuSe4 structure.

Structure (POSCAR):
```
Tl2SbAuSe4
1.0
6.945 0.000 0.000
3.472 5.793 0.000
3.472 0.000 5.793
Tl Sb Au Se
2 1 1 4
direct
0.000 0.500 0.500
0.500 0.500 0.500
0.000 0.000 0.000
0.500 0.000 0.000
0.059 0.342 0.000
0.941 0.000 0.658
0.599 0.000 0.342
0.401 0.658 0.000
```

Values from the calculation:
V = 29.13 A^3/atom
Formation energy from raw total energies = -0.16 eV per atom
Symmetry = No. 121

---

DFT (PBE-GGA) results for a geometry-optimized KNa3U2Se6 structure.

Structure (POSCAR):
```
KNa3U2Se6
1.0
-3.571 -2.160 -0.631
4.293 -5.532 -5.358
2.804 -2.993 8.499
K Na U Se
1 3 2 6
direct
0.500 0.000 0.000
0.500 0.500 0.000
0.843 0.167 0.686
0.157 0.833 0.314
0.835 0.667 0.669
0.165 0.333 0.331
0.322 0.879 0.644
0.674 0.564 0.348
0.678 0.121 0.356
0.015 0.277 0.030
0.985 0.723 0.970
0.326 0.436 0.652
```

Values from the calculation:
V = 27.89 A^3/atom
Formation energy from raw total energies = -1.20 eV per atom
Symmetry = No. 12